Entry one
# Cs2Zn2Cd GGA-PBE relaxed
# SG = P4/mbm (127)
# DOS(E_F) = 5.7 states/eV/cell
data_Cs2Zn2Cd
_chemical_formula_sum 'Cs4 Zn4 Cd2'
_space_group_name_H-M_alt 'P 1'
_space_group_IT_number 1
_cell_length_a 8.0848
_cell_length_b 8.0848
_cell_length_c 5.9333
_cell_angle_alpha 90.00
_cell_angle_beta 90.00
_cell_angle_gamma 90.00
loop_
_space_group_symop_operation_xyz
'x,y,z'
loop_
_atom_site_label
_atom_site_type_symbol
_atom_site_fract_x
_atom_site_fract_y
_atom_site_fract_z
Zn1 Zn 0.8815 0.6185 0.0000
Zn2 Zn 0.3815 0.8815 0.0000
Zn3 Zn 0.6185 0.1185 0.0000
Zn4 Zn 0.1185 0.3815 0.0000
Cd1 Cd 0.0000 0.0000 0.0000
Cd2 Cd 0.5000 0.5000 0.0000
Cs1 Cs 0.6849 0.8151 0.5000
Cs2 Cs 0.1849 0.6849 0.5000
Cs3 Cs 0.3151 0.1849 0.5000
Cs4 Cs 0.8151 0.3151 0.5000

---

Entry two
# Cs2Zn2Cd GGA-PBE relaxed
# SG = I4/mmm (139)
# DOS(E_F) = 4.1 states/eV/cell
data_Cs2Zn2Cd
_chemical_formula_sum 'Cs2 Zn2 Cd1'
_space_group_name_H-M_alt 'P 1'
_space_group_IT_number 1
_cell_length_a 7.3768
_cell_length_b 7.3768
_cell_length_c 6.5852
_cell_angle_alpha 55.94
_cell_angle_beta 55.94
_cell_angle_gamma 90.00
loop_
_space_group_symop_operation_xyz
'x,y,z'
loop_
_atom_site_label
_atom_site_type_symbol
_atom_site_fract_x
_atom_site_fract_y
_atom_site_fract_z
Cs1 Cs 0.2500 0.7500 0.5000
Cs2 Cs 0.7500 0.2500 0.5000
Zn1 Zn 0.3423 0.3423 0.3154
Zn2 Zn 0.6577 0.6577 0.6846
Cd1 Cd 0.0000 0.0000 0.0000

---

The structure with the most favorable energy is entry one; the runner-up is 0.8 kJ/mol of atoms above it.

---

Entry one
# CsZn2Cd2 GGA-PBE relaxed
# SG = I4/mmm (139)
# DOS(E_F) = 2.7 states/eV/cell
data_CsZn2Cd2
_chemical_formula_sum 'Cs1 Zn2 Cd2'
_space_group_name_H-M_alt 'P 1'
_space_group_IT_number 1
_cell_length_a 5.0696
_cell_length_b 5.0696
_cell_length_c 6.6766
_cell_angle_alpha 67.69
_cell_angle_beta 67.69
_cell_angle_gamma 90.00
loop_
_space_group_symop_operation_xyz
'x,y,z'
loop_
_atom_site_label
_atom_site_type_symbol
_atom_site_fract_x
_atom_site_fract_y
_atom_site_fract_z
Cs1 Cs 0.0000 0.0000 0.0000
Zn1 Zn 0.6219 0.6219 0.7562
Zn2 Zn 0.3781 0.3781 0.2438
Cd1 Cd 0.2500 0.7500 0.5000
Cd2 Cd 0.7500 0.2500 0.5000

---

Entry two
# CsZn2Cd2 GGA-PBE relaxed
# SG = P4/mbm (127)
# DOS(E_F) = 6.1 states/eV/cell
data_CsZn2Cd2
_chemical_formula_sum 'Cs2 Zn4 Cd4'
_space_group_name_H-M_alt 'P 1'
_space_group_IT_number 1
_cell_length_a 9.1936
_cell_length_b 9.1936
_cell_length_c 3.2228
_cell_angle_alpha 90.00
_cell_angle_beta 90.00
_cell_angle_gamma 90.00
loop_
_space_group_symop_operation_xyz
'x,y,z'
loop_
_atom_site_label
_atom_site_type_symbol
_atom_site_fract_x
_atom_site_fract_y
_atom_site_fract_z
Cd1 Cd 0.1279 0.3721 0.0000
Cd2 Cd 0.6279 0.1279 0.0000
Cd3 Cd 0.3721 0.8721 0.0000
Cd4 Cd 0.8721 0.6279 0.0000
Zn1 Zn 0.8483 0.3483 0.5000
Zn2 Zn 0.1517 0.6517 0.5000
Zn3 Zn 0.3483 0.1517 0.5000
Zn4 Zn 0.6517 0.8483 0.5000
Cs1 Cs 0.0000 0.0000 0.0000
Cs2 Cs 0.5000 0.5000 0.0000

---

The structure with the most favorable energy is entry one; the runner-up is 11.7 kJ/mol of atoms above it.